A plane-wave DFT calculation with GGA+U was carried out for Ag2Mo2O7 after structural relaxation.

## Properties
Uncorrected energy   -134.88 eV/cell
Space group   No. 2
Excess energy over the best structure of this formula in the dataset   0.0 meV per atom

Unit cell a=6.149 b=7.712 c=7.892 alpha=116.12 beta=100.81 gamma=94.24
Atoms (fractional coordinates):
Ag 0.169 0.007 0.702
Ag 0.831 0.993 0.298
Ag 0.627 0.205 0.690
Ag 0.373 0.795 0.310
Mo 0.169 0.496 0.701
Mo 0.831 0.504 0.299
Mo 0.642 0.728 0.724
Mo 0.358 0.272 0.276
O 0.265 0.052 0.286
O 0.735 0.948 0.714
O 0.103 0.411 0.364
O 0.897 0.589 0.636
O 0.663 0.247 0.292
O 0.337 0.753 0.708
O 0.542 0.573 0.375
O 0.458 0.427 0.625
O 0.237 0.596 0.953
O 0.763 0.404 0.047
O 0.740 0.784 0.968
O 0.260 0.216 0.032
O 0.044 0.246 0.625
O 0.956 0.754 0.375